# PBE CoNiP2, relaxed
data_CoNiP2
_cell_length_a 6.9647
_cell_length_b 6.9647
_cell_length_c 6.9647
_cell_angle_alpha 24.24
_cell_angle_beta 24.24
_cell_angle_gamma 24.24
_space_group_name_H-M_alt 'P 1'
_space_group_IT_number 1
loop_
_space_group_symop_operation_xyz
'x,y,z'
loop_
_atom_site_label
_atom_site_type_symbol
_atom_site_fract_x
_atom_site_fract_y
_atom_site_fract_z
Co1 Co 0.5101 0.5101 0.5101
P1 P 0.2429 0.2429 0.2429
Ni1 Ni 0.7410 0.7410 0.7410
P2 P 0.0060 0.0060 0.0060
# Energy of formation from the pure elements, eV per atom: -0.058
# D(E_F), states/eV per cell: 2.1
# Theoretical density, g cm⁻³: 5.96